[1]
CrAgTe2 | PBEsol | optimized geometry

Properties
energy relative to the elements, uncorrected: 0.246 eV per atom

a b c (Å): 3.4070 3.4070 7.0799
angles (deg): 90.00 90.00 90.00
Space group P4/mmm (No. 123)
Inequivalent atoms, fractional coordinates:
Cr: 0.0000 0.0000 0.0000 [1 per cell]
Ag: 0.0000 0.0000 0.5000 [1 per cell]
Te: 0.5000 0.5000 0.2235 [2 per cell]

[2]
BaAgIr2 | PBEsol | optimized geometry

Properties
ΔH_f (0 K): 0.957 eV/atom
energy above the most stable polymorph in this dataset: 0.145 eV per atom

a b c (Å): 6.7702 6.7702 6.7702
angles (deg): 90.00 90.00 90.00
Space group Fm-3m (No. 225)
Inequivalent atoms, fractional coordinates:
Ba: 0.0000 0.0000 0.0000 [4 per cell]
Ag: 0.0000 0.0000 0.5000 [4 per cell]
Ir: 0.2500 0.2500 0.2500 [8 per cell]

[3]
Co2TcP | PBEsol | optimized geometry

Properties
ΔH_f (0 K): -0.196 eV/atom

a b c (Å): 2.9073 3.9708 7.8334
angles (deg): 90.00 90.00 90.00
Space group Imm2 (No. 44)
Inequivalent atoms, fractional coordinates:
Co: 0.0000 0.0000 0.0000 [2 per cell]
Co: 0.0000 0.5000 0.2174 [2 per cell]
Tc: 0.0000 0.0000 0.4372 [2 per cell]
P: 0.0000 0.5000 0.7008 [2 per cell]

no.,spin magnetization (Bohr magnetons per cell),energy (eV/atom),DOS at the Fermi energy (states/eV/cell)
1,2.57,-4.905,1.89
2,0.01,-5.319,26.31
3,2.68,-8.329,8.47